Record 1
First-principles (PBE) data for a relaxed structure of Te2SBrN, as listed in the Alexandria database.

The value obtained for the magnetic moment is 0.0 Bohr magnetons per cell. The raw total energy is -3.218 eV per atom.

It has space group P4/mmm (No. 123), with a = 6.020 Å, b = 6.020 Å, c = 3.284 Å, α = 90.00°, β = 90.00° and γ = 90.00°. The distinct sites, in fractional coordinates, are Te at (0.000, 0.500, 0.000), S at (0.000, 0.000, 0.000), Br at (0.500, 0.500, 0.500) and N at (0.000, 0.000, 0.500).

Record 2
First-principles (PBE) data for a relaxed structure of Sr2LaAg2, as listed in the Alexandria database.

The value obtained for the magnetic moment is 0.0 Bohr magnetons per cell. The raw total energy is -2.985 eV per atom.

It has space group P4/mbm (No. 127), with a = 8.392 Å, b = 8.392 Å, c = 4.748 Å, α = 90.00°, β = 90.00° and γ = 90.00°. The distinct sites, in fractional coordinates, are Sr at (0.168, 0.332, 0.000), La at (0.000, 0.000, 0.500) and Ag at (0.127, 0.627, 0.500).